Density functional theory data (PBE) for a relaxed La2TbSm7Tl2 crystal.

Geometry as POSCAR:
```
La2TbSm7Tl2
1.0
5.061 -3.494 0.000
5.061 3.494 0.000
-0.012 0.000 11.362
La Tb Sm Tl
2 1 7 2
direct
0.000 0.000 0.146
0.000 0.000 0.854
0.500 0.500 0.500
0.000 0.000 0.500
0.000 0.500 0.333
0.000 0.500 0.667
0.318 0.318 0.000
0.500 0.000 0.333
0.500 0.000 0.667
0.682 0.682 0.000
0.499 0.499 0.228
0.501 0.501 0.772
```

Properties
Total energy = -0.3224 Ry/atom
Magnetic moment = 0.01 μB per cell
DOS at the Fermi energy = 1.935 states/eV per atom
DFT formation energy = -0.033 eV per atom


Density functional theory data (PBE) for a relaxed LaTb2SmTl4 crystal.

Geometry as POSCAR:
```
LaTb2SmTl4
1.0
2.734 1.579 8.950
-2.734 1.579 8.950
0.000 -3.157 8.950
La Tb Sm Tl
1 2 1 4
direct
0.000 0.000 0.000
0.250 0.250 0.250
0.750 0.750 0.750
0.500 0.500 0.500
0.126 0.126 0.126
0.376 0.376 0.376
0.624 0.624 0.624
0.874 0.874 0.874
```

Properties
Total energy = -0.2881 Ry/atom
Magnetic moment = 0.00 μB per cell
DOS at the Fermi energy = 0.852 states/eV per atom
DFT formation energy = -0.373 eV per atom


Density functional theory data (PBE) for a relaxed LaTb2Sm4Tm crystal.

Geometry as POSCAR:
```
LaTb2Sm4Tm
1.0
6.222 0.000 0.000
0.000 3.621 0.000
-2.113 0.000 11.799
La Tb Sm Tm
1 2 4 1
direct
0.000 0.000 0.000
0.000 0.500 0.500
0.500 0.000 0.500
0.250 0.000 0.749
0.251 0.500 0.253
0.749 0.500 0.747
0.750 0.000 0.251
0.500 0.500 0.000
```

Properties
Total energy = -0.3434 Ry/atom
Magnetic moment = 0.00 μB per cell
DOS at the Fermi energy = 1.451 states/eV per atom
DFT formation energy = 0.020 eV per atom


Which formula does entry 3 have?
LaTb2Sm4Tm